[1]
DFT (PBE-GGA) results for Pm3Si4Pd after structural relaxation.

As for the crystal system: orthorhombic.

The space group is Immm (No. 71) and the conventional cell measures 4.440, 5.731 and 14.773 Å, with angles of 90.00, 90.00 and 90.00 degrees. The distinct sites, in fractional coordinates, are Pm at (0.000, 0.000, 0.000), Pm at (0.000, 0.500, 0.192), Si at (0.000, 0.293, 0.381) and Pd at (0.000, 0.000, 0.500).

***

[2]
DFT (PBE-GGA) results for Pm2SiPd6 after structural relaxation.

As for the crystal system: monoclinic. The calculation puts the offset from the most stable computed form at 6 meV per atom.

The space group is C2/m (No. 12) and the conventional cell measures 9.931, 5.751 and 6.010 Å, with angles of 90.00, 104.46 and 90.00 degrees. The distinct sites, in fractional coordinates, are Pm at (0.141, 0.000, 0.334), Si at (0.000, 0.500, 0.500), Pd at (0.124, 0.500, 0.205) and Pd at (0.132, 0.245, 0.807).

***

[3]
DFT (PBE-GGA) results for PmSi3Pd5 after structural relaxation.

As for the crystal system: orthorhombic.

The space group is Cmcm (No. 63) and the conventional cell measures 3.923, 12.515 and 12.639 Å, with angles of 90.00, 90.00 and 90.00 degrees. The distinct sites, in fractional coordinates, are Pm at (0.000, 0.149, 0.250), Si at (0.000, 0.119, 0.750), Si at (0.000, 0.386, 0.541), Pd at (0.000, 0.000, 0.000), Pd at (0.000, 0.206, 0.576) and Pd at (0.000, 0.447, 0.145).

***

[4]
DFT (PBE-GGA) results for Pm2SiPd2 after structural relaxation.

As for the crystal system: monoclinic. The calculation puts the offset from the most stable computed form at 0 meV per atom.

The space group is C2/m (No. 12) and the conventional cell measures 10.598, 4.183 and 10.941 Å, with angles of 90.00, 114.96 and 90.00 degrees. The distinct sites, in fractional coordinates, are Pm at (0.001, 0.000, 0.165), Pm at (0.191, 0.000, 0.615), Si at (0.218, 0.500, 0.836), Pd at (0.016, 0.500, 0.378) and Pd at (0.172, 0.500, 0.049).

***

[5]
DFT (PBE-GGA) results for Pm2SiPd after structural relaxation.

As for the crystal system: tetragonal. The calculation puts the offset from the most stable computed form at 139 meV per atom.

The space group is P4/mmm (No. 123) and the conventional cell measures 3.541, 3.541 and 7.453 Å, with angles of 90.00, 90.00 and 90.00 degrees. The distinct sites, in fractional coordinates, are Pm at (0.000, 0.000, 0.250), Si at (0.500, 0.500, 0.000) and Pd at (0.500, 0.500, 0.500).

***

[6]
DFT (PBE-GGA) results for PmSiPd after structural relaxation.

As for the crystal system: orthorhombic. The calculation puts the offset from the most stable computed form at 446 meV per atom.

The space group is Fdd2 (No. 43) and the conventional cell measures 5.507, 10.755 and 8.578 Å, with angles of 90.00, 90.00 and 90.00 degrees. The distinct sites, in fractional coordinates, are Pm at (0.000, 0.000, 0.000), Si at (0.000, 0.000, 0.653) and Pd at (0.000, 0.000, 0.366).

***

[7]
DFT (PBE-GGA) results for Pm2Si4Pd5 after structural relaxation.

As for the crystal system: orthorhombic.

The space group is Fmmm (No. 69) and the conventional cell measures 5.815, 9.788 and 13.992 Å, with angles of 90.00, 90.00 and 90.00 degrees. The distinct sites, in fractional coordinates, are Pm at (0.000, 0.000, 0.141), Si at (0.000, 0.136, 0.361), Pd at (0.000, 0.000, 0.500), Pd at (0.250, 0.250, 0.000) and Pd at (0.250, 0.250, 0.250).

***

[8]
DFT (PBE-GGA) results for PmSiPd2 after structural relaxation.

As for the crystal system: trigonal. The calculation puts the offset from the most stable computed form at 136 meV per atom.

The space group is R-3m (No. 166, hexagonal axes) and the conventional cell measures 4.2507, 4.2507 and 15.0275 Å, with angles of 90.00, 90.00 and 120.00 degrees. The distinct sites, in fractional coordinates, are Pm at (0.0000, 0.0000, 0.0000), Si at (0.0000, 0.0000, 0.5000) and Pd at (0.0000, 0.0000, 0.2094).

***

[9]
DFT (PBE-GGA) results for PmSi2Pd4 after structural relaxation.

As for the crystal system: tetragonal.

The space group is P4_2/mnm (No. 136) and the conventional cell measures 7.923, 7.923 and 3.770 Å, with angles of 90.00, 90.00 and 90.00 degrees. The distinct sites, in fractional coordinates, are Pm at (0.000, 0.000, 0.000), Si at (0.225, 0.225, 0.500) and Pd at (0.078, 0.676, 0.500).

***

[10]
DFT (PBE-GGA) results for Pm2SiPd after structural relaxation.

As for the crystal system: monoclinic. The calculation puts the offset from the most stable computed form at 19 meV per atom.

The space group is P2_1/m (No. 11) and the conventional cell measures 5.931, 4.331 and 8.169 Å, with angles of 90.00, 110.93 and 90.00 degrees. The distinct sites, in fractional coordinates, are Pm at (0.219, 0.250, 0.418), Pm at (0.224, 0.250, 0.937), Si at (0.338, 0.750, 0.707) and Pd at (0.374, 0.750, 0.216).

***

[11]
DFT (PBE-GGA) results for Pm2SiPd after structural relaxation.

As for the crystal system: cubic. The calculation puts the offset from the most stable computed form at 129 meV per atom.

The space group is Fm-3m (No. 225) and the conventional cell measures 7.236, 7.236 and 7.236 Å, with angles of 90.00, 90.00 and 90.00 degrees. The distinct sites, in fractional coordinates, are Pm at (0.250, 0.250, 0.250), Si at (0.000, 0.000, 0.000) and Pd at (0.000, 0.000, 0.500).

***

[12]
DFT (PBE-GGA) results for PmSiPd2 after structural relaxation.

As for the crystal system: orthorhombic. The calculation puts the offset from the most stable computed form at 272 meV per atom.

The space group is Pmmm (No. 47) and the conventional cell measures 3.791, 4.055 and 5.448 Å, with angles of 90.00, 90.00 and 90.00 degrees. The distinct sites, in fractional coordinates, are Pm at (0.000, 0.000, 0.000), Si at (0.500, 0.000, 0.500) and Pd at (0.500, 0.500, 0.252).

***

no.,V (Å³ per atom),DFT total energy (eV per cell)
1,23.50,-92.6
2,18.47,-107.1
3,17.24,-214.5
4,21.99,-118.0
5,23.37,-22.6
6,21.17,-134.0
7,18.10,-262.2
8,19.60,-71.2
9,16.91,-84.3
10,24.50,-46.3
11,23.68,-90.7
12,20.94,-23.2